Record 1
{"formula": "ScNiHgBi", "functional": "GGA-PBE", "state": "optimized geometry", "cell": [[6.887, 0.000, 0.000], [0.000, 6.887, 0.000], [0.000, 0.000, 6.887]], "species": ["Sc", "Sc", "Sc", "Sc", "Ni", "Ni", "Ni", "Ni", "Hg", "Hg", "Hg", "Hg", "Bi", "Bi", "Bi", "Bi"], "frac_coords": [[0.000, 0.000, 0.000], [0.000, 0.500, 0.500], [0.500, 0.000, 0.500], [0.500, 0.500, 0.000], [0.000, 0.000, 0.500], [0.000, 0.500, 0.000], [0.500, 0.000, 0.000], [0.500, 0.500, 0.500], [0.250, 0.250, 0.750], [0.250, 0.750, 0.250], [0.750, 0.250, 0.250], [0.750, 0.750, 0.750], [0.250, 0.250, 0.250], [0.250, 0.750, 0.750], [0.750, 0.250, 0.750], [0.750, 0.750, 0.250]], "crystal_system": "cubic"}

---

Record 2
{"formula": "ScNiHgBi", "functional": "GGA-PBE", "state": "optimized geometry", "cell": [[6.937, 0.000, 0.000], [0.000, 6.937, 0.000], [0.000, 0.000, 6.937]], "species": ["Sc", "Sc", "Sc", "Sc", "Ni", "Ni", "Ni", "Ni", "Hg", "Hg", "Hg", "Hg", "Bi", "Bi", "Bi", "Bi"], "frac_coords": [[0.000, 0.000, 0.000], [0.000, 0.500, 0.500], [0.500, 0.000, 0.500], [0.500, 0.500, 0.000], [0.250, 0.250, 0.750], [0.250, 0.750, 0.250], [0.750, 0.250, 0.250], [0.750, 0.750, 0.750], [0.250, 0.250, 0.250], [0.250, 0.750, 0.750], [0.750, 0.250, 0.750], [0.750, 0.750, 0.250], [0.000, 0.000, 0.500], [0.000, 0.500, 0.000], [0.500, 0.000, 0.000], [0.500, 0.500, 0.500]], "crystal_system": "cubic"}

---

Record 3
{"formula": "TaNiHgBi", "functional": "GGA-PBE", "state": "optimized geometry", "cell": [[6.775, 0.000, 0.000], [0.000, 6.775, 0.000], [0.000, 0.000, 6.775]], "species": ["Ta", "Ta", "Ta", "Ta", "Ni", "Ni", "Ni", "Ni", "Hg", "Hg", "Hg", "Hg", "Bi", "Bi", "Bi", "Bi"], "frac_coords": [[0.000, 0.000, 0.000], [0.000, 0.500, 0.500], [0.500, 0.000, 0.500], [0.500, 0.500, 0.000], [0.000, 0.000, 0.500], [0.000, 0.500, 0.000], [0.500, 0.000, 0.000], [0.500, 0.500, 0.500], [0.250, 0.250, 0.750], [0.250, 0.750, 0.250], [0.750, 0.250, 0.250], [0.750, 0.750, 0.750], [0.250, 0.250, 0.250], [0.250, 0.750, 0.750], [0.750, 0.250, 0.750], [0.750, 0.750, 0.250]], "crystal_system": "cubic"}

---

Record 4
{"formula": "TaNiHgBi", "functional": "GGA-PBE", "state": "optimized geometry", "cell": [[6.860, 0.000, 0.000], [0.000, 6.860, 0.000], [0.000, 0.000, 6.860]], "species": ["Ta", "Ta", "Ta", "Ta", "Ni", "Ni", "Ni", "Ni", "Hg", "Hg", "Hg", "Hg", "Bi", "Bi", "Bi", "Bi"], "frac_coords": [[0.000, 0.000, 0.000], [0.000, 0.500, 0.500], [0.500, 0.000, 0.500], [0.500, 0.500, 0.000], [0.250, 0.250, 0.750], [0.250, 0.750, 0.250], [0.750, 0.250, 0.250], [0.750, 0.750, 0.750], [0.250, 0.250, 0.250], [0.250, 0.750, 0.750], [0.750, 0.250, 0.750], [0.750, 0.750, 0.250], [0.000, 0.000, 0.500], [0.000, 0.500, 0.000], [0.500, 0.000, 0.000], [0.500, 0.500, 0.500]], "crystal_system": "cubic"}

---

Total energy across the listed records, respectively: -4.16; -4.12; -4.82; -4.69 eV/atom.